Record 1
Below is a relaxed NaGeTe2 crystal, with properties calculated at the PBE-GGA level.

Cell lengths 4.170, 4.170, 27.229 Å; angles 90.00, 90.00, 120.00 degrees
Fractional coordinates of all 12 atoms:
Na 0.000 0.000 0.000
Na 0.333 0.667 0.667
Na 0.667 0.333 0.333
Ge 0.000 0.000 0.500
Ge 0.333 0.667 0.167
Ge 0.667 0.333 0.833
Te 0.000 0.000 0.108
Te 0.000 0.000 0.892
Te 0.333 0.667 0.559
Te 0.333 0.667 0.774
Te 0.667 0.333 0.226
Te 0.667 0.333 0.441

Results
Fermi-level density of states, states/eV/atom: 0.687
Mass density, g/cm3: 4.26
Symmetry: No. 166
Energy relative to the elements, uncorrected, eV per formula unit: -0.55

Record 2
Below is a relaxed NaGe2Te crystal, with properties calculated at the PBE-GGA level.

Cell lengths 5.762, 5.857, 8.253 Å; angles 82.55, 89.89, 60.56 degrees
Fractional coordinates of all 8 atoms:
Na 0.127 0.248 0.198
Na 0.873 0.752 0.802
Ge 0.147 0.760 0.454
Ge 0.407 0.240 0.546
Ge 0.593 0.760 0.454
Ge 0.853 0.240 0.546
Te 0.185 0.128 0.819
Te 0.815 0.872 0.181

Results
Fermi-level density of states, states/eV/atom: 0.175
Mass density, g/cm3: 4.10
Symmetry: No. 2
Energy relative to the elements, uncorrected, eV per formula unit: -0.75

Record 3
Below is a relaxed NaGe2Te crystal, with properties calculated at the PBE-GGA level.

Cell lengths 4.360, 15.090, 6.616 Å; angles 90.00, 90.00, 90.00 degrees
Fractional coordinates of all 16 atoms:
Na 0.000 0.068 0.000
Na 0.000 0.932 0.500
Na 0.500 0.432 0.500
Na 0.500 0.568 0.000
Ge 0.000 0.280 0.373
Ge 0.000 0.305 0.777
Ge 0.000 0.695 0.277
Ge 0.000 0.720 0.873
Ge 0.500 0.195 0.277
Ge 0.500 0.220 0.873
Ge 0.500 0.780 0.373
Ge 0.500 0.805 0.777
Te 0.000 0.419 0.113
Te 0.000 0.581 0.613
Te 0.500 0.081 0.613
Te 0.500 0.919 0.113

Results
Fermi-level density of states, states/eV/atom: 0.181
Mass density, g/cm3: 4.51
Symmetry: No. 36
Energy relative to the elements, uncorrected, eV per formula unit: -0.72

Record 4
Below is a relaxed Na3GeTe4 crystal, with properties calculated at the PBE-GGA level.

Cell lengths 12.426, 6.587, 6.461 Å; angles 90.00, 90.00, 90.00 degrees
Fractional coordinates of all 16 atoms:
Na 0.000 0.220 0.000
Na 0.247 0.282 0.580
Na 0.253 0.718 0.080
Na 0.500 0.780 0.500
Na 0.747 0.718 0.080
Na 0.753 0.282 0.580
Ge 0.000 0.646 0.434
Ge 0.500 0.354 0.934
Te 0.000 0.256 0.497
Te 0.000 0.723 0.038
Te 0.185 0.781 0.578
Te 0.315 0.219 0.078
Te 0.500 0.277 0.538
Te 0.500 0.744 0.997
Te 0.685 0.219 0.078
Te 0.815 0.781 0.578

Results
Fermi-level density of states, states/eV/atom: 0.750
Mass density, g/cm3: 4.09
Symmetry: No. 31
Distance to the lowest polymorph of the same formula, kJ per mole of atoms: 0.4
Energy relative to the elements, uncorrected, eV per formula unit: -3.90